(1)
First-principles (PBE-GGA) data for Ce3CI after structural relaxation, as listed in Alexandria via LeMat-Bulk.

Calculated values
Total DFT energy (no corrections) (eV/cell): -29.86

a b c (Å): 4.932 4.932 4.932
angles (deg): 90.00 90.00 90.00
Space group Pm-3m (No. 221)
Symmetry-distinct sites (fractional):
Ce 0.000 0.000 0.500 x3
C 0.000 0.000 0.000 x1
I 0.500 0.500 0.500 x1

---

(2)
First-principles (PBE-GGA) data for Ce7C3I10 after structural relaxation, as listed in Alexandria via LeMat-Bulk.

Calculated values
Total DFT energy (no corrections) (eV/cell): -212.43

a b c (Å): 9.758 11.796 13.870
angles (deg): 79.68 71.03 66.11
Space group P-1 (No. 2)
Symmetry-distinct sites (fractional):
Ce 0.041 0.297 0.307 x2
Ce 0.121 0.572 0.361 x2
Ce 0.254 0.448 0.079 x2
Ce 0.332 0.742 0.102 x2
Ce 0.366 0.226 0.412 x2
Ce 0.456 0.614 0.827 x2
Ce 0.458 0.085 0.159 x2
C 0.254 0.390 0.275 x2
C 0.332 0.275 0.229 x2
C 0.461 0.557 0.024 x2
I 0.004 0.716 0.169 x2
I 0.063 0.157 0.522 x2
I 0.108 0.578 0.880 x2
I 0.151 0.024 0.223 x2
I 0.214 0.888 0.910 x2
I 0.217 0.452 0.570 x2
I 0.314 0.745 0.628 x2
I 0.357 0.198 0.954 x2
I 0.429 0.629 0.305 x2
I 0.458 0.062 0.639 x2